[1]
# SrCd2PtF, single point on PBEsol structure, DFT SCAN
data_SrCd2PtF
_chemical_formula_sum 'Sr1 Cd2 Pt1 F1'
_cell_length_a 4.745
_cell_length_b 4.745
_cell_length_c 4.626
_cell_angle_alpha 90.00
_cell_angle_beta 90.00
_cell_angle_gamma 90.00
_space_group_name_H-M_alt 'P 4/m m m'
_space_group_IT_number 123
_space_group_name_Hall '-P 4 2'
loop_
_atom_site_label
_atom_site_type_symbol
_atom_site_fract_x
_atom_site_fract_y
_atom_site_fract_z
_atom_site_occupancy
Sr1 Sr 0.000 0.000 0.000 1
Cd1 Cd 0.000 0.500 0.500 1
Pt1 Pt 0.500 0.500 0.000 1
F1 F 0.000 0.000 0.500 1
# Formation energy (no corrections) ... -0.867 eV per atom
# Mass density ... 8.40 Mg/m³

---

[2]
# SrCdPt2F, single point on PBEsol structure, DFT SCAN
data_SrCdPt2F
_chemical_formula_sum 'Sr1 Cd1 Pt2 F1'
_cell_length_a 5.294
_cell_length_b 5.294
_cell_length_c 4.301
_cell_angle_alpha 90.00
_cell_angle_beta 90.00
_cell_angle_gamma 90.00
_space_group_name_H-M_alt 'P 4/m m m'
_space_group_IT_number 123
_space_group_name_Hall '-P 4 2'
loop_
_atom_site_label
_atom_site_type_symbol
_atom_site_fract_x
_atom_site_fract_y
_atom_site_fract_z
_atom_site_occupancy
Sr1 Sr 0.000 0.000 0.000 1
Cd1 Cd 0.500 0.500 0.500 1
Pt1 Pt 0.000 0.500 0.000 1
F1 F 0.000 0.000 0.500 1
# Formation energy (no corrections) ... 0.045 eV per atom
# Mass density ... 8.39 Mg/m³

---

[3]
# RbCd3F, single point on PBEsol structure, DFT SCAN
data_RbCd3F
_chemical_formula_sum 'Rb1 Cd3 F1'
_cell_length_a 6.902
_cell_length_b 6.902
_cell_length_c 6.902
_cell_angle_alpha 90.00
_cell_angle_beta 90.00
_cell_angle_gamma 90.00
_space_group_name_H-M_alt 'P m -3 m'
_space_group_IT_number 221
_space_group_name_Hall '-P 4 2 3'
loop_
_atom_site_label
_atom_site_type_symbol
_atom_site_fract_x
_atom_site_fract_y
_atom_site_fract_z
_atom_site_occupancy
Rb1 Rb 0.000 0.000 0.000 1
Cd1 Cd 0.000 0.000 0.500 1
F1 F 0.500 0.500 0.500 1
# Formation energy (no corrections) ... 0.215 eV per atom
# Mass density ... 2.23 Mg/m³

---

[4]
# Rb3CdF, single point on PBEsol structure, DFT SCAN
data_Rb3CdF
_chemical_formula_sum 'Rb3 Cd1 F1'
_cell_length_a 5.679
_cell_length_b 5.679
_cell_length_c 5.679
_cell_angle_alpha 90.00
_cell_angle_beta 90.00
_cell_angle_gamma 90.00
_space_group_name_H-M_alt 'P m -3 m'
_space_group_IT_number 221
_space_group_name_Hall '-P 4 2 3'
loop_
_atom_site_label
_atom_site_type_symbol
_atom_site_fract_x
_atom_site_fract_y
_atom_site_fract_z
_atom_site_occupancy
Rb1 Rb 0.000 0.000 0.500 1
Cd1 Cd 0.500 0.500 0.500 1
F1 F 0.000 0.000 0.000 1
# Formation energy (no corrections) ... -1.101 eV per atom
# Mass density ... 3.52 Mg/m³

---

[5]
# RbZrCdF7, single point on PBEsol structure, DFT SCAN
data_RbZrCdF7
_chemical_formula_sum 'Rb4 Zr4 Cd4 F28'
_cell_length_a 6.823
_cell_length_b 11.059
_cell_length_c 8.519
_cell_angle_alpha 90.00
_cell_angle_beta 90.00
_cell_angle_gamma 90.00
_space_group_name_H-M_alt 'C m c m'
_space_group_IT_number 63
_space_group_name_Hall '-C 2c 2'
loop_
_atom_site_label
_atom_site_type_symbol
_atom_site_fract_x
_atom_site_fract_y
_atom_site_fract_z
_atom_site_occupancy
Rb1 Rb 0.000 0.000 0.000 1
Zr1 Zr 0.000 0.306 0.250 1
Cd1 Cd 0.000 0.308 0.750 1
F1 F 0.000 0.295 0.014 1
F2 F 0.000 0.490 0.250 1
F3 F 0.177 0.150 0.250 1
F4 F 0.205 0.141 0.750 1
# Formation energy (no corrections) ... -3.376 eV per atom
# Mass density ... 4.36 Mg/m³

---

[6]
# Cd2ReF, single point on PBEsol structure, DFT SCAN
data_Cd2ReF
_chemical_formula_sum 'Cd8 Re4 F4'
_cell_length_a 6.509
_cell_length_b 6.509
_cell_length_c 6.509
_cell_angle_alpha 90.00
_cell_angle_beta 90.00
_cell_angle_gamma 90.00
_space_group_name_H-M_alt 'F m -3 m'
_space_group_IT_number 225
_space_group_name_Hall '-F 4 2 3'
loop_
_atom_site_label
_atom_site_type_symbol
_atom_site_fract_x
_atom_site_fract_y
_atom_site_fract_z
_atom_site_occupancy
Cd1 Cd 0.250 0.250 0.250 1
Re1 Re 0.000 0.000 0.000 1
F1 F 0.000 0.000 0.500 1
# Formation energy (no corrections) ... 0.492 eV per atom
# Mass density ... 10.36 Mg/m³

---

Copy entry 6 word for word.
# Cd2ReF, single point on PBEsol structure, DFT SCAN
data_Cd2ReF
_chemical_formula_sum 'Cd8 Re4 F4'
_cell_length_a 6.509
_cell_length_b 6.509
_cell_length_c 6.509
_cell_angle_alpha 90.00
_cell_angle_beta 90.00
_cell_angle_gamma 90.00
_space_group_name_H-M_alt 'F m -3 m'
_space_group_IT_number 225
_space_group_name_Hall '-F 4 2 3'
loop_
_atom_site_label
_atom_site_type_symbol
_atom_site_fract_x
_atom_site_fract_y
_atom_site_fract_z
_atom_site_occupancy
Cd1 Cd 0.250 0.250 0.250 1
Re1 Re 0.000 0.000 0.000 1
F1 F 0.000 0.000 0.500 1
# Formation energy (no corrections) ... 0.492 eV per atom
# Mass density ... 10.36 Mg/m³